Compound: ScCrTc2O
Source: the Alexandria database
Functional: GGA+U
Structure: relaxed

Structure (CIF):
```
data_ScCrTc2O
_symmetry_space_group_name_H-M 'P 4/m m m'
_symmetry_Int_Tables_number 123
_symmetry_space_group_name_Hall '-P 4 2'
_cell_length_a 4.7080
_cell_length_b 4.7080
_cell_length_c 3.5598
_cell_angle_alpha 90.00
_cell_angle_beta 90.00
_cell_angle_gamma 90.00
loop_
_atom_site_label
_atom_site_type_symbol
_atom_site_fract_x
_atom_site_fract_y
_atom_site_fract_z
Sc1 Sc 0.0000 0.0000 0.0000
Cr1 Cr 0.5000 0.5000 0.5000
Tc1 Tc 0.0000 0.5000 0.5000
O1 O 0.5000 0.5000 0.0000
```

Output
- D(E_F): 6.53 states/eV/f.u.
- Electronic total energy: -7.1754 eV/atom
- Magnetization: 0.00 μB per formula unit